# PmSm3Cd

A relaxed PmSm3Cd crystal (GGA-PBE, Alexandria via LeMat-Bulk).

The value obtained for the total moment is 0.00 μB per atom. For the excess energy over the best structure of this formula in the dataset, the calculation gives 0.000 eV/atom. The calculation puts the raw total energy at -40.72 eV per cell. As for the calculated formation energy: -10.4 kJ per mole of atoms.

Unit cell a=3.7533 b=6.8335 c=12.8906 alpha=87.06 beta=89.99 gamma=74.06
Space group P-1 (No. 2)
Asymmetric unit:
Pm (0.2281, 0.0432, 0.2512)
Sm (0.0386, 0.4226, 0.6898)
Sm (0.1460, 0.2080, 0.9469)
Sm (0.3668, 0.7678, 0.5257)
Cd (0.4439, 0.6121, 0.8729)


# ZnRu3

A relaxed ZnRu3 crystal (GGA-PBE, Alexandria via LeMat-Bulk).

The value obtained for the total moment is 0.00 μB per atom. The calculation puts the raw total energy at -57.15 eV per cell. As for the calculated formation energy: 12.7 kJ per mole of atoms.

Unit cell a=8.9948 b=2.7259 c=4.6315 alpha=90.00 beta=99.84 gamma=90.00
Space group C2/m (No. 12)
Asymmetric unit:
Zn (0.0000, 0.0000, 0.0000)
Ru (0.0000, 0.5000, 0.5000)
Ru (0.2440, 0.0000, 0.7499)


# La4Mg5Pb6

A relaxed La4Mg5Pb6 crystal (GGA-PBE, Alexandria via LeMat-Bulk).

The value obtained for the total moment is 0.00 μB per atom. The calculation puts the raw total energy at -226.28 eV per cell. As for the calculated formation energy: -42.7 kJ per mole of atoms.

Unit cell a=4.8612 b=21.4586 c=17.2327 alpha=90.00 beta=90.00 gamma=90.00
Space group Cmc2_1 (No. 36)
Asymmetric unit:
La (0.0000, 0.0197, 0.0000)
La (0.0000, 0.0336, 0.2657)
La (0.0000, 0.1648, 0.8011)
La (0.0000, 0.1755, 0.4445)
Mg (0.0000, 0.1545, 0.1271)
Mg (0.0000, 0.3033, 0.1211)
Mg (0.0000, 0.3423, 0.7718)
Mg (0.0000, 0.3490, 0.4853)
Mg (0.0000, 0.4380, 0.1814)
Pb (0.0000, 0.1095, 0.6164)
Pb (0.0000, 0.2250, 0.9790)
Pb (0.0000, 0.2330, 0.2684)
Pb (0.0000, 0.4283, 0.9138)
Pb (0.0000, 0.4309, 0.6300)
Pb (0.0000, 0.4385, 0.3537)


raw total energy of number 2 (ZnRu3)?
-57.15 eV per cell